1.
# Ba2TlGa2O6

Ba2TlGa2O6 after structural relaxation (GGA-PBE, Alexandria).

Lattice parameters (Å, degrees): 6.1128 6.1128 7.2001 64.88 64.88 60.00
Atoms (fractional coordinates):
O  0.2345  0.7444  0.2767
O  0.7444  0.7444  0.2767
O  0.2556  0.2556  0.7233
O  0.2556  0.7655  0.7233
O  0.7655  0.2556  0.7233
O  0.7444  0.2345  0.2767
Ba  0.2061  0.2061  0.3818
Ba  0.7939  0.7939  0.6182
Ga  0.4252  0.4252  0.7243
Ga  0.5748  0.5748  0.2757
Tl  0.0000  0.0000  0.0000

Values from the calculation:
The formation energy from raw total energies is -169.6 kJ/mol of atoms.

=====

2.
# Nd4TmGa5

Nd4TmGa5 after structural relaxation (GGA-PBE, Alexandria).

Lattice parameters (Å, degrees): 3.6510 3.6510 18.4080 90.00 90.00 90.00
Atoms (fractional coordinates):
Ga  0.5000  0.5000  0.5000
Ga  0.5000  0.5000  0.2952
Ga  0.5000  0.5000  0.7048
Ga  0.5000  0.5000  0.0881
Ga  0.5000  0.5000  0.9119
Nd  0.0000  0.0000  0.1930
Nd  0.0000  0.0000  0.6022
Nd  0.0000  0.0000  0.8070
Nd  0.0000  0.0000  0.3978
Tm  0.0000  0.0000  0.0000

Values from the calculation:
Its formation energy is -0.561 eV per atom.

=====

3.
# CePr3Ho3

CePr3Ho3 after structural relaxation (GGA-PBE, Alexandria).

Lattice parameters (Å, degrees): 8.1711 8.1711 7.2400 90.00 90.00 90.31
Last column: magnetic moment on the atom in μB.
Atoms (fractional coordinates):
Ho  0.2943  0.2943  0.5000  0.00
Ho  0.7057  0.7057  0.5000  0.00
Ho  0.7201  0.2799  0.5000  0.02
Ho  0.2799  0.7201  0.5000  0.02
Ho  0.7216  0.7216  0.0000  0.06
Ho  0.2784  0.2784  0.0000  0.06
Ce  0.2970  0.7030  0.0000  0.85
Ce  0.7030  0.2970  0.0000  0.85
Pr  0.0000  0.5000  0.2470  0.03
Pr  0.0000  0.0000  0.2507  0.00
Pr  0.0000  0.0000  0.7493  0.00
Pr  0.5000  0.0000  0.7530  0.03
Pr  0.0000  0.5000  0.7530  0.03
Pr  0.5000  0.0000  0.2470  0.03

Values from the calculation:
Its formation energy is 0.223 eV per atom.

=====

4.
# Co3PtC

Co3PtC after structural relaxation (GGA-PBE, Alexandria).

Lattice parameters (Å, degrees): 3.8089 3.8089 3.8089 90.00 90.00 90.00
Last column: magnetic moment on the atom in μB.
Atoms (fractional coordinates):
Pt  0.5000  0.5000  0.5000  0.39
Co  0.0000  0.5000  0.0000  1.27
Co  0.5000  0.0000  0.0000  1.63
Co  0.0000  0.0000  0.5000  1.18
C  0.0000  0.0000  0.0000  -0.04

Values from the calculation:
Its formation energy is 0.145 eV per atom.

=====

5.
# Cs3OsPd

Cs3OsPd after structural relaxation (GGA-PBE, Alexandria).

Lattice parameters (Å, degrees): 6.4715 6.4715 6.4715 90.00 90.00 90.00
Last column: magnetic moment on the atom in μB.
Atoms (fractional coordinates):
Cs  0.0000  0.0000  0.5000  0.00
Cs  0.0000  0.5000  0.0000  0.00
Cs  0.5000  0.0000  0.0000  0.00
Pd  0.0000  0.0000  0.0000  0.01
Os  0.5000  0.5000  0.5000  2.36

Values from the calculation:
Its formation energy is 1.268 eV per atom.

=====

6.
# Sm12Y5Er2

Sm12Y5Er2 after structural relaxation (GGA-PBE, Alexandria).

Lattice parameters (Å, degrees): 6.8809 9.0528 12.4107 109.44 110.11 102.37
Atoms (fractional coordinates):
Sm  0.5915  0.7075  0.0794
Sm  0.1315  0.0195  0.2701
Sm  0.1474  0.5491  0.7775
Sm  0.6317  0.2227  0.6066
Sm  0.3683  0.7773  0.3934
Sm  0.1442  0.1813  0.6015
Sm  0.4085  0.2925  0.9206
Sm  0.8558  0.8187  0.3985
Sm  0.8685  0.9805  0.7299
Sm  0.3339  0.3629  0.2081
Sm  0.6661  0.6371  0.7919
Sm  0.8526  0.4509  0.2225
Er  0.2296  0.9412  0.9929
Er  0.7704  0.0588  0.0071
Y  0.0000  0.5000  0.0000
Y  0.2289  0.4502  0.4818
Y  0.7711  0.5498  0.5182
Y  0.3158  0.8782  0.6939
Y  0.6842  0.1218  0.3061

Values from the calculation:
Its formation energy is 0.102 eV per atom.

=====

7.
# AgMo2W

AgMo2W after structural relaxation (GGA-PBE, Alexandria).

Lattice parameters (Å, degrees): 4.0199 4.0219 3.9731 90.00 90.00 90.00
Atoms (fractional coordinates):
Mo  0.0000  0.0000  0.0000
Mo  0.5000  0.5000  0.0000
Ag  0.0000  0.5000  0.5000
W  0.5000  0.0000  0.5000

Values from the calculation:
Its formation energy is 0.445 eV per atom.

=====

8.
# LaMg2Te

LaMg2Te after structural relaxation (GGA-PBE, Alexandria).

Lattice parameters (Å, degrees): 3.8992 3.8992 7.3745 90.00 90.00 90.00
Last column: magnetic moment on the atom in μB.
Atoms (fractional coordinates):
Mg  0.0000  0.0000  0.0419  0.00
Mg  0.0000  0.0000  0.4581  0.00
Te  0.5000  0.5000  0.2500  0.00
La  0.5000  0.5000  0.7500  0.17

Values from the calculation:
The formation energy from raw total energies is -36.3 kJ/mol of atoms.

=====

9.
# K2UCuSe4

K2UCuSe4 after structural relaxation (GGA-PBE, Alexandria).

Lattice parameters (Å, degrees): 6.9432 6.9432 6.9432 101.58 113.56 113.56
Last column: magnetic moment on the atom in μB.
Atoms (fractional coordinates):
Se  0.5821  0.3658  0.4344  -0.07
Se  0.4179  0.8523  0.7837  -0.07
Se  0.9314  0.5656  0.1477  -0.07
Se  0.0686  0.2163  0.6342  -0.07
K  0.5000  0.7500  0.2500  0.00
K  0.0000  0.0000  0.0000  0.00
U  0.5000  0.2500  0.7500  1.46
Cu  0.0000  0.5000  0.5000  -0.12

Values from the calculation:
The formation energy from raw total energies is -76.9 kJ/mol of atoms.

=====

10.
# AlWSe4

AlWSe4 after structural relaxation (GGA-PBE, Alexandria).

Lattice parameters (Å, degrees): 5.6035 5.6035 5.6035 60.00 60.00 60.00
Last column: magnetic moment on the atom in μB.
Atoms (fractional coordinates):
Al  0.0000  0.0000  0.0000  -0.02
Se  0.3761  0.3761  0.8718  0.03
Se  0.3761  0.3761  0.3761  0.03
Se  0.8718  0.3761  0.3761  0.03
Se  0.3761  0.8718  0.3761  0.03
W  0.7500  0.7500  0.7500  2.29

Values from the calculation:
The formation energy from raw total energies is 119.4 kJ/mol of atoms.

=====

11.
# TbHfAlCu

TbHfAlCu after structural relaxation (GGA-PBE, Alexandria).

Lattice parameters (Å, degrees): 4.8590 4.8590 4.8590 60.00 60.00 60.00
Atoms (fractional coordinates):
Al  0.7500  0.7500  0.7500
Hf  0.5000  0.5000  0.5000
Tb  0.0000  0.0000  0.0000
Cu  0.2500  0.2500  0.2500

Values from the calculation:
Its formation energy is -0.150 eV per atom.

=====

12.
# Dy4Er3Zn4

Dy4Er3Zn4 after structural relaxation (GGA-PBE, Alexandria).

Lattice parameters (Å, degrees): 5.0704 6.8829 9.1227 112.16 106.13 90.00
Atoms (fractional coordinates):
Dy  0.6792  0.9120  0.3584
Dy  0.6792  0.4464  0.3584
Dy  0.3208  0.0880  0.6416
Dy  0.3208  0.5536  0.6416
Zn  0.5000  0.1852  0.0000
Zn  0.8204  0.3204  0.6407
Zn  0.1796  0.6796  0.3593
Zn  0.5000  0.8148  0.0000
Er  0.1008  0.1008  0.2017
Er  0.0000  0.5000  0.0000
Er  0.8992  0.8992  0.7983

Values from the calculation:
Its formation energy is -0.118 eV per atom.

=====

13.
# LaZr2Br

LaZr2Br after structural relaxation (GGA-PBE, Alexandria).

Lattice parameters (Å, degrees): 5.9288 5.9288 3.3144 90.00 90.00 117.71
Atoms (fractional coordinates):
Zr  0.5000  0.5000  0.0000
Zr  0.0000  0.0000  0.0000
La  0.0000  0.5000  0.5000
Br  0.5000  0.0000  0.5000

Values from the calculation:
The formation energy from raw total energies is 14.6 kJ/mol of atoms.

=====

14.
# LiCdCl4

LiCdCl4 after structural relaxation (GGA-PBE, Alexandria).

Lattice parameters (Å, degrees): 6.0641 6.0641 6.0641 60.00 60.00 60.00
Last column: magnetic moment on the atom in μB.
Atoms (fractional coordinates):
Cl  0.3749  0.3749  0.3749  0.47
Cl  0.8752  0.3749  0.3749  0.47
Cl  0.3749  0.3749  0.8752  0.47
Cl  0.3749  0.8752  0.3749  0.47
Li  0.7500  0.7500  0.7500  0.00
Cd  0.0000  0.0000  0.0000  0.22

Values from the calculation:
The formation energy from raw total energies is -0.6 kJ/mol of atoms.

=====

15.
# Tb5Y5Sc2

Tb5Y5Sc2 after structural relaxation (GGA-PBE, Alexandria).

Lattice parameters (Å, degrees): 5.5386 6.5405 11.8549 106.32 90.00 115.05
Atoms (fractional coordinates):
Sc  0.0367  0.0734  0.7119
Sc  0.9633  0.9266  0.2881
Tb  0.5359  0.0719  0.2154
Tb  0.7062  0.4123  0.0477
Tb  0.2938  0.5877  0.9523
Tb  0.4641  0.9281  0.7846
Tb  0.5000  0.0000  0.5000
Y  0.7508  0.5017  0.7492
Y  0.2492  0.4983  0.2508
Y  0.2004  0.4008  0.5457
Y  0.7996  0.5992  0.4543
Y  0.0000  0.0000  0.0000

Values from the calculation:
Its formation energy is 0.068 eV per atom.

=====

16.
# Tb3Cd2

Tb3Cd2 after structural relaxation (GGA-PBE, Alexandria).

Lattice parameters (Å, degrees): 7.5795 8.6341 8.6341 90.00 90.00 90.00
Atoms (fractional coordinates):
Tb  0.5000  0.8477  0.1523
Tb  0.2500  0.5000  0.0000
Tb  0.5000  0.3110  0.3110
Tb  0.0000  0.8110  0.1890
Tb  0.7500  0.0000  0.5000
Tb  0.7500  0.5000  0.0000
Tb  0.5000  0.1523  0.8477
Tb  0.2500  0.0000  0.5000
Tb  0.0000  0.3477  0.3477
Tb  0.0000  0.1890  0.8110
Tb  0.5000  0.6890  0.6890
Tb  0.0000  0.6523  0.6523
Cd  0.7913  0.8725  0.8725
Cd  0.2087  0.8725  0.8725
Cd  0.7913  0.1275  0.1275
Cd  0.2913  0.6275  0.3725
Cd  0.2087  0.1275  0.1275
Cd  0.7087  0.6275  0.3725
Cd  0.7087  0.3725  0.6275
Cd  0.2913  0.3725  0.6275

Values from the calculation:
Its formation energy is -0.197 eV per atom.

=====

17.
# GaCSN2

GaCSN2 after structural relaxation (GGA-PBE, Alexandria).

Lattice parameters (Å, degrees): 3.7785 3.7785 5.2250 90.00 90.00 90.00
Last column: magnetic moment on the atom in μB.
Atoms (fractional coordinates):
N  0.0000  0.5000  0.0000  1.09
N  0.5000  0.0000  0.0000  1.09
Ga  0.0000  0.0000  0.0000  0.01
S  0.0000  0.0000  0.5000  0.27
C  0.5000  0.5000  0.5000  -0.38

Values from the calculation:
The formation energy from raw total energies is 239.3 kJ/mol of atoms.

=====

18.
# PmTlSi

PmTlSi after structural relaxation (GGA-PBE, Alexandria).

Lattice parameters (Å, degrees): 5.3432 4.5228 12.1418 90.00 90.00 90.00
Atoms (fractional coordinates):
Pm  0.0765  0.5000  0.7050
Pm  0.5765  0.5000  0.2950
Pm  0.5765  0.0000  0.7050
Pm  0.0765  0.0000  0.2950
Tl  0.5756  0.5000  0.9087
Tl  0.0756  0.5000  0.0913
Tl  0.0756  0.0000  0.9087
Tl  0.5756  0.0000  0.0913
Si  0.0769  0.4999  0.4566
Si  0.5769  0.5001  0.5434
Si  0.0769  0.9999  0.5434
Si  0.5769  0.0001  0.4566

Values from the calculation:
The formation energy from raw total energies is -24.9 kJ/mol of atoms.

=====

19.
# NdHo15In4

NdHo15In4 after structural relaxation (GGA-PBE, Alexandria).

Lattice parameters (Å, degrees): 4.8390 4.8390 24.6501 90.00 90.00 90.00
Atoms (fractional coordinates):
Ho  0.5000  0.0000  0.6961
Ho  0.0000  0.5000  0.3039
Ho  0.5000  0.0000  0.5000
Ho  0.5000  0.5000  0.5978
Ho  0.5000  0.5000  0.2063
Ho  0.5000  0.5000  0.0000
Ho  0.0000  0.5000  0.5000
Ho  0.5000  0.5000  0.4022
Ho  0.5000  0.5000  0.7937
Ho  0.0000  0.5000  0.8934
Ho  0.5000  0.0000  0.1066
Ho  0.5000  0.0000  0.3039
Ho  0.0000  0.5000  0.6961
Ho  0.0000  0.5000  0.1066
Ho  0.5000  0.0000  0.8934
In  0.0000  0.0000  0.2069
In  0.0000  0.0000  0.7931
In  0.0000  0.0000  0.5977
In  0.0000  0.0000  0.4023
Nd  0.0000  0.0000  0.0000

Values from the calculation:
Its formation energy is -0.197 eV per atom.

=====

20.
# Fe3RePb

Fe3RePb after structural relaxation (GGA-PBE, Alexandria).

Lattice parameters (Å, degrees): 4.6277 4.6277 4.6277 90.00 90.00 90.00
Last column: magnetic moment on the atom in μB.
Atoms (fractional coordinates):
Re  0.5000  0.5000  0.5000  -2.88
Pb  0.0000  0.0000  0.0000  -0.02
Fe  0.0000  0.5000  0.0000  0.41
Fe  0.0000  0.0000  0.5000  0.44
Fe  0.5000  0.0000  0.0000  0.28

Values from the calculation:
Its formation energy is 2.787 eV per atom.

=====

21.
# SrPt2Pb

SrPt2Pb after structural relaxation (GGA-PBE, Alexandria).

Lattice parameters (Å, degrees): 3.6724 3.6724 6.9281 90.00 90.00 90.00
Atoms (fractional coordinates):
Pb  0.5000  0.5000  0.8161
Pt  0.0000  0.0000  0.0134
Pt  0.5000  0.5000  0.2114
Sr  0.0000  0.0000  0.4591

Values from the calculation:
Its formation energy is -0.316 eV per atom.

=====

22.
# Pm4SiSe2Br

Pm4SiSe2Br after structural relaxation (GGA-PBE, Alexandria).

Lattice parameters (Å, degrees): 4.2072 7.4691 7.2534 108.92 90.00 90.00
Atoms (fractional coordinates):
Se  0.0000  0.5000  0.5000
Se  0.5000  0.0000  0.5000
Pm  0.5000  0.7208  0.7397
Pm  0.5000  0.2792  0.2603
Pm  0.0000  0.7283  0.2431
Pm  0.0000  0.2717  0.7569
Si  0.5000  0.5000  0.0000
Br  0.0000  0.0000  0.0000

Values from the calculation:
The formation energy from raw total energies is -139.7 kJ/mol of atoms.

=====

23.
# Pr2YBr

Pr2YBr after structural relaxation (GGA-PBE, Alexandria).

Lattice parameters (Å, degrees): 3.6220 3.6220 9.7922 90.00 90.00 90.00
Atoms (fractional coordinates):
Br  0.5000  0.5000  0.0000
Pr  0.0000  0.0000  0.7677
Pr  0.0000  0.0000  0.2323
Y  0.5000  0.5000  0.5000

Values from the calculation:
The formation energy from raw total energies is -46.3 kJ/mol of atoms.

=====

24.
# Ba2SrCaAu

Ba2SrCaAu after structural relaxation (GGA-PBE, Alexandria).

Lattice parameters (Å, degrees): 6.5013 6.5013 5.9252 90.00 90.00 90.00
Atoms (fractional coordinates):
Sr  0.5000  0.5000  0.5000
Ba  0.0000  0.5000  0.0000
Ba  0.5000  0.0000  0.0000
Ca  0.0000  0.0000  0.5000
Au  0.0000  0.0000  0.0000

Values from the calculation:
Its formation energy is -0.310 eV per atom.

=====

Per-record V, Å³/cell: 203 245 483 55 271 636 64 112 254 124 81 281 103 158 370 565 75 293 577 99 93 216 128 250